SrZnCr | PBE | optimized geometry

Computed properties:
As for the space-group type: I4mm. Its excess energy over the best structure of this formula in the dataset is 16 meV/atom. For the density of states at the Fermi level, the calculation gives 2.6 states/eV/f.u.

Cell: 6.2041 6.2041 6.2041 Å, 146.19 146.19 48.56°
Element x y z (fractional)
Sr (0.0000, 0.0000, 0.0000)
Zn (0.7058, 0.7058, 0.0000)
Cr (0.2878, 0.2878, 0.0000)